Record 1
Compound: Al2AuBr
Source: the Alexandria database
Functional: GGA-PBEsol
Structure: relaxed

Values from the calculation:
As for the uncorrected formation energy: -0.3 eV/f.u. Its polymorph energy (0 for the lowest one) is 124 meV per atom.

Cell lengths 7.6667, 7.1920, 3.0953 Å; angles 90.00, 112.05, 90.00 degrees
With the nearest neighbours (Å) after each atom.
Space group C2/m (No. 12)
Unique sites:
Al: 0.2500 0.2500 0.0000 (multiplicity 4)  2 Br 2.66, 2 Au 2.66
Au: 0.0000 0.0000 0.5000 (multiplicity 2)  4 Al 2.66
Br: 0.0000 0.5000 0.5000 (multiplicity 2)  4 Al 2.66



Record 2
Compound: Y2B6Os
Source: the Alexandria database
Functional: GGA-PBEsol
Structure: relaxed

Values from the calculation:
As for the formation enthalpy at 0 K: -0.72 eV/atom.

Cell lengths 9.1056, 11.4706, 3.6180 Å; angles 90.00, 90.00, 90.00 degrees
With the nearest neighbours (Å) after each atom.
Space group Pbam (No. 55)
Unique sites:
Y: 0.0563 0.1271 0.0000 (multiplicity 4)  12 B 2.58-2.60, 2 Os 2.84-2.85
Y: 0.1780 0.4138 0.0000 (multiplicity 4)  14 B 2.70-2.79
B: 0.0170 0.2872 0.5000 (multiplicity 4)  3 B 1.78-1.86
B: 0.0536 0.5670 0.5000 (multiplicity 4)  3 B 1.77-1.82
B: 0.1083 0.9700 0.5000 (multiplicity 4)  2 B 1.80-1.82
B: 0.1314 0.8144 0.5000 (multiplicity 4)  3 B 1.72-1.80
B: 0.2093 0.2332 0.5000 (multiplicity 4)  3 B 1.72-1.86
B: 0.2478 0.5800 0.5000 (multiplicity 4)  3 B 1.77-1.82
Os: 0.1374 0.6786 0.0000 (multiplicity 4)  10 B 2.32-2.39



Record 3
Compound: Os2W
Source: the Alexandria database
Functional: GGA-PBEsol
Structure: relaxed

Values from the calculation:
As for the formation enthalpy at 0 K: 0.01 eV/atom. Its polymorph energy (0 for the lowest one) is 2 meV per atom.

Cell lengths 10.0199, 2.7573, 6.4951 Å; angles 90.00, 104.24, 90.00 degrees
With the nearest neighbours (Å) after each atom.
Space group Cm (No. 8)
Unique sites:
Os: 0.0000 0.0000 0.0000 (multiplicity 2)  5 W 2.69-2.75, 7 Os 2.71-2.77
Os: 0.0560 0.0000 0.6122 (multiplicity 2)  8 Os 2.69-2.76, 4 W 2.73-2.74
Os: 0.1649 0.5000 0.3382 (multiplicity 2)  4 W 2.68-2.75, 8 Os 2.69-2.77
Os: 0.3345 0.0000 0.6678 (multiplicity 2)  3 W 2.69-2.74, 9 Os 2.71-2.76
W: 0.2189 0.5000 0.9452 (multiplicity 2)  8 Os 2.69-2.75, 4 W 2.76-2.80
W: 0.3913 0.0000 0.2837 (multiplicity 2)  8 Os 2.68-2.75, 4 W 2.76-2.80



Record 4
Compound: Cr2TeIr2
Source: the Alexandria database
Functional: GGA-PBEsol
Structure: relaxed

Values from the calculation:
As for the uncorrected formation energy: 1.7 eV/f.u.

Cell lengths 3.3961, 3.3961, 13.2610 Å; angles 90.00, 90.00, 90.00 degrees
With the nearest neighbours (Å) after each atom.
Space group I4/mmm (No. 139)
Unique sites:
Cr: 0.0000 0.5000 0.2500 (multiplicity 4)  4 Cr 2.40, 4 Ir 2.53
Te: 0.0000 0.0000 0.0000 (multiplicity 2)  8 Ir 2.80
Ir: 0.0000 0.0000 0.3918 (multiplicity 4)  4 Cr 2.53, 4 Te 2.80



Record 5
Compound: CaP2H2O7
Source: the Alexandria database
Functional: GGA-PBEsol
Structure: relaxed

Cell lengths 7.3777, 7.9684, 9.8411 Å; angles 90.00, 100.83, 90.00 degrees
With the nearest neighbours (Å) after each atom.
Space group C2/c (No. 15)
Unique sites:
Ca: 0.0000 0.0000 0.0000 (multiplicity 4)  6 O 2.23-2.44
P: 0.1657 0.3876 0.1928 (multiplicity 8)  4 O 1.49-1.62
H: 0.2172 0.3005 0.6501 (multiplicity 8)  1 O 1.07
O: 0.0000 0.4803 0.2500 (multiplicity 4)  2 P 1.62
O: 0.0942 0.2417 0.1038 (multiplicity 8)  1 P 1.49
O: 0.1959 0.1718 0.6728 (multiplicity 8)  1 H 1.07
O: 0.2421 0.0277 0.3740 (multiplicity 8)  1 H 1.43, 1 P 1.52



Record 6
Compound: ScC2
Source: the Alexandria database
Functional: GGA-PBEsol
Structure: relaxed

Values from the calculation:
As for the formation enthalpy at 0 K: 0.11 eV/atom.

Cell lengths 2.7012, 2.7012, 12.5610 Å; angles 90.00, 90.00, 120.00 degrees
With the nearest neighbours (Å) after each atom.
Space group R-3m (No. 166, hexagonal axes)
Unique sites:
Sc: 0.0000 0.0000 0.0000 (multiplicity 3)  8 C 2.31-2.44
C: 0.0000 0.0000 0.1841 (multiplicity 6)  3 C 1.62



Record 7
Compound: YRhBr2
Source: the Alexandria database
Functional: GGA-PBEsol
Structure: relaxed

Values from the calculation:
As for the uncorrected formation energy: -2.3 eV/f.u. Its polymorph energy (0 for the lowest one) is 0 meV per atom.

Cell lengths 6.2633, 6.4798, 8.8432 Å; angles 90.00, 90.00, 90.00 degrees
With the nearest neighbours (Å) after each atom.
Space group Fmmm (No. 69)
Unique sites:
Y: 0.0000 0.0000 0.0000 (multiplicity 4)  4 Br 2.74
Rh: 0.0000 0.0000 0.5000 (multiplicity 4)  4 Br 2.74
Br: 0.0000 0.2500 0.2500 (multiplicity 8)  2 Rh 2.74, 2 Y 2.74



Record 8
Compound: Zr2BeAs
Source: the Alexandria database
Functional: GGA-PBEsol
Structure: relaxed

Values from the calculation:
As for the formation enthalpy at 0 K: 0.24 eV/atom. Its polymorph energy (0 for the lowest one) is 1062 meV per atom.

Cell lengths 6.4716, 6.4716, 6.4716 Å; angles 90.00, 90.00, 90.00 degrees
With the nearest neighbours (Å) after each atom.
Space group F-43m (No. 216)
Unique sites:
Zr: 0.0000 0.0000 0.0000 (multiplicity 4)  4 Zr 2.80, 4 Be 2.80
Zr: 0.2500 0.2500 0.2500 (multiplicity 4)  4 As 2.80, 4 Zr 2.80
Be: 0.2500 0.2500 0.7500 (multiplicity 4)  4 Zr 2.80, 4 As 2.80
As: 0.0000 0.0000 0.5000 (multiplicity 4)  4 Be 2.80, 4 Zr 2.80



DFT total energy in eV per formula unit, matching the order above: -14.2 -74.5 -38.2 -41.9 -83.5 -25.6 -21.0 -26.3